Entry from Alexandria: an optimized crystal structure of Y2ScBi (PBE).

a b c (Å): 6.9471 6.9471 6.9471
angles (deg): 102.08 102.08 125.55
Positions (direct):
Y  0.1083  0.6250  0.9833
Y  0.3750  0.3583  0.4833
Y  0.6417  0.1250  0.0167
Y  0.8750  0.8917  0.5167
Sc  0.2500  0.7500  0.5000
Sc  0.5000  0.5000  0.0000
Bi  0.0000  0.0000  0.0000
Bi  0.7500  0.2500  0.5000

Values from the calculation:
- ΔH_f (0 K): 0.001 eV/atom

=====

Entry from Alexandria: an optimized crystal structure of YSc2Bi (PBE).

a b c (Å): 6.2897 6.2897 8.9934
angles (deg): 90.00 90.00 142.30
Positions (direct):
Y  0.0499  0.9501  0.7500
Y  0.9501  0.0499  0.2500
Sc  0.3678  0.6322  0.5458
Sc  0.3678  0.6322  0.9542
Sc  0.6322  0.3678  0.0458
Sc  0.6322  0.3678  0.4542
Bi  0.2387  0.7613  0.2500
Bi  0.7613  0.2387  0.7500

Values from the calculation:
- ΔH_f (0 K): -0.390 eV/atom

=====

Entry from Alexandria: an optimized crystal structure of Y2ScBi (PBE).

a b c (Å): 10.7244 10.7244 10.7244
angles (deg): 19.34 19.34 19.34
Positions (direct):
Y  0.0000  0.0000  0.0000
Y  0.1662  0.1662  0.1662
Sc  0.4161  0.4161  0.4161
Bi  0.5829  0.5829  0.5829

Values from the calculation:
- ΔH_f (0 K): -0.190 eV/atom

=====

Entry from Alexandria: an optimized crystal structure of YSc2Bi (PBE).

a b c (Å): 4.6919 4.6919 4.7045
angles (deg): 90.00 90.00 90.00
Positions (direct):
Y  0.0000  0.0000  0.0000
Sc  0.0000  0.5000  0.5000
Sc  0.5000  0.0000  0.5000
Bi  0.5000  0.5000  0.0000

Values from the calculation:
- ΔH_f (0 K): -0.305 eV/atom

=====

Entry from Alexandria: an optimized crystal structure of Y2ScBi (PBE).

a b c (Å): 4.1012 4.1012 6.7414
angles (deg): 90.00 90.00 90.00
Positions (direct):
Y  0.0000  0.0000  0.2471
Y  0.0000  0.0000  0.7529
Sc  0.5000  0.5000  0.5000
Bi  0.5000  0.5000  0.0000

Values from the calculation:
- ΔH_f (0 K): -0.386 eV/atom

=====

Entry from Alexandria: an optimized crystal structure of Y3Sc2Bi4 (PBE).

a b c (Å): 7.6988 7.6988 9.9254
angles (deg): 123.68 123.68 33.24
Positions (direct):
Y  0.0000  0.0000  0.0000
Y  0.3564  0.3564  0.2978
Y  0.6436  0.6436  0.7022
Sc  0.3159  0.3159  0.6399
Sc  0.6841  0.6841  0.3601
Bi  0.0577  0.0577  0.3850
Bi  0.3262  0.3262  0.9414
Bi  0.6738  0.6738  0.0586
Bi  0.9423  0.9423  0.6150

Values from the calculation:
- ΔH_f (0 K): -0.656 eV/atom

=====

Entry from Alexandria: an optimized crystal structure of YSc4Bi5 (PBE).

a b c (Å): 11.3992 11.3992 11.3992
angles (deg): 158.22 148.91 38.28
Positions (direct):
Y  0.0000  0.0000  0.0000
Sc  0.2030  0.2030  0.0000
Sc  0.4000  0.4000  0.0000
Sc  0.6000  0.6000  0.0000
Sc  0.7970  0.7970  0.0000
Bi  0.1059  0.6059  0.5000
Bi  0.3012  0.8012  0.5000
Bi  0.5000  0.0000  0.5000
Bi  0.6988  0.1988  0.5000
Bi  0.8941  0.3941  0.5000

Values from the calculation:
- ΔH_f (0 K): -0.701 eV/atom

=====

Entry from Alexandria: an optimized crystal structure of YScBi3 (PBE).

a b c (Å): 5.5624 5.5624 5.5624
angles (deg): 90.00 90.00 90.00
Positions (direct):
Y  0.0000  0.0000  0.0000
Sc  0.5000  0.5000  0.5000
Bi  0.0000  0.5000  0.5000
Bi  0.5000  0.0000  0.5000
Bi  0.5000  0.5000  0.0000

Values from the calculation:
- Excess energy over the best structure of this formula in the dataset: 0.000 eV/atom
- ΔH_f (0 K): 0.009 eV/atom

=====

Repeat the sixth record exactly.
Entry from Alexandria: an optimized crystal structure of Y3Sc2Bi4 (PBE).

a b c (Å): 7.6988 7.6988 9.9254
angles (deg): 123.68 123.68 33.24
Positions (direct):
Y  0.0000  0.0000  0.0000
Y  0.3564  0.3564  0.2978
Y  0.6436  0.6436  0.7022
Sc  0.3159  0.3159  0.6399
Sc  0.6841  0.6841  0.3601
Bi  0.0577  0.0577  0.3850
Bi  0.3262  0.3262  0.9414
Bi  0.6738  0.6738  0.0586
Bi  0.9423  0.9423  0.6150

Values from the calculation:
- ΔH_f (0 K): -0.656 eV/atom

=====

The lowest ΔH_f (0 K) belongs to which entry?
YSc4Bi5